# HoZrPb2

A relaxed HoZrPb2 crystal (GGA-PBE, Alexandria via LeMat-Bulk).

Computed properties:
Energy relative to the elements, eV/atom: -0.217
Size of the total moment, μB per formula unit: 0.0

Cell: 3.946 3.946 6.691 Å, 90.00 90.00 90.00°
Element x y z (fractional)
Ho 0.000 0.000 0.000
Zr 0.000 0.000 0.500
Pb 0.500 0.500 0.265
Pb 0.500 0.500 0.735